VASP calculation (PBE) on a relaxed Zr3Te crystal.

a b c (Å): 6.1489 6.1489 5.1764
angles (deg): 90.00 90.00 115.15
Closest atoms and distances in Å follow each position.
Positions (direct):
Zr  0.1317  0.8683  0.7500  8 Zr 3.00-3.16, 2 Te 3.31
Zr  0.8683  0.1317  0.2500  8 Zr 3.00-3.16, 2 Te 3.31
Zr  0.6345  0.8437  0.7500  5 Zr 3.00-3.16, 4 Te 3.02-3.13
Zr  0.3655  0.1563  0.2500  5 Zr 3.00-3.16, 4 Te 3.02-3.13
Zr  0.8437  0.6345  0.2500  5 Zr 3.00-3.16, 4 Te 3.02-3.13
Zr  0.1563  0.3655  0.7500  5 Zr 3.00-3.16, 4 Te 3.02-3.13
Te  0.6562  0.3438  0.7500  10 Zr 3.02-3.31
Te  0.3438  0.6562  0.2500  10 Zr 3.02-3.31

## Properties
Formation energy from raw total energies, eV/atom: -0.341
Space group: Cmcm
M_tot, μB per formula unit: 0.0
DOS(E_F), states/eV/cell: 7.807
Crystal system: orthorhombic
Raw total energy, eV/cell: -60.3


VASP calculation (PBE) on a relaxed Ge2NCl crystal.

a b c (Å): 4.5206 4.5206 4.5206
angles (deg): 60.00 60.00 60.00
Closest atoms and distances in Å follow each position.
Positions (direct):
Ge  0.2500  0.2500  0.2500  4 Cl 2.77, 4 N 2.77
Ge  0.7500  0.7500  0.7500  4 N 2.77, 4 Cl 2.77
N  0.0000  0.0000  0.0000  8 Ge 2.77
Cl  0.5000  0.5000  0.5000  8 Ge 2.77

## Properties
Formation energy from raw total energies, eV/atom: 0.931
Space group: Fm-3m
M_tot, μB per formula unit: 0.0
DOS(E_F), states/eV/cell: 1.409
Crystal system: cubic
Raw total energy, eV/cell: -15.7
ΔE to the lowest computed polymorph, kJ per mole of atoms: 67.7


VASP calculation (PBE) on a relaxed Tc3SeI crystal.

a b c (Å): 4.6482 4.6482 4.6482
angles (deg): 90.00 90.00 90.00
Closest atoms and distances in Å follow each position.
Positions (direct):
I  0.5000  0.5000  0.5000  12 Tc 3.29
Tc  0.0000  0.5000  0.0000  2 Se 2.32
Tc  0.0000  0.0000  0.5000  2 Se 2.32
Tc  0.5000  0.0000  0.0000  2 Se 2.32
Se  0.0000  0.0000  0.0000  6 Tc 2.32

## Properties
Formation energy from raw total energies, eV/atom: 1.342
Space group: Pm-3m
M_tot, μB per formula unit: 1.0
DOS(E_F), states/eV/cell: 9.052
Crystal system: cubic
Raw total energy, eV/cell: -29.4
ΔE to the lowest computed polymorph, kJ per mole of atoms: 0.0


VASP calculation (PBE) on a relaxed K4CaNb3O12 crystal.

a b c (Å): 7.2508 7.2508 7.2508
angles (deg): 109.47 109.47 109.47
Closest atoms and distances in Å follow each position.
Positions (direct):
K  0.5000  0.5000  0.5000  12 O 2.96-2.97
K  0.0000  0.0000  0.5000  12 O 2.96-2.97
K  0.5000  0.0000  0.0000  12 O 2.96-2.97
K  0.0000  0.5000  0.0000  12 O 2.96-2.97
Ca  0.0000  0.0000  0.0000  6 O 2.26
Nb  0.5000  0.0000  0.5000  6 O 1.92-2.09
Nb  0.5000  0.5000  0.0000  6 O 1.92-2.09
Nb  0.0000  0.5000  0.5000  6 O 1.92-2.09
O  0.2500  0.5000  0.7500  2 Nb 2.09
O  0.7295  0.0000  0.7295  1 Nb 1.92
O  0.2705  0.0000  0.2705  1 Nb 1.92
O  0.7500  0.5000  0.2500  2 Nb 2.09
O  0.7295  0.7295  0.0000  1 Nb 1.92
O  0.2705  0.2705  0.0000  1 Nb 1.92
O  0.7500  0.2500  0.5000  2 Nb 2.09
O  0.2500  0.7500  0.5000  2 Nb 2.09
O  0.5000  0.2500  0.7500  2 Nb 2.09
O  0.0000  0.7295  0.7295  1 Nb 1.92
O  0.5000  0.7500  0.2500  2 Nb 2.09
O  0.0000  0.2705  0.2705  1 Nb 1.92

## Properties
Formation energy from raw total energies, eV/atom: -2.116
Space group: Im-3m
M_tot, μB per formula unit: 3.1
DOS(E_F), states/eV/cell: 14.534
Crystal system: cubic
Raw total energy, eV/cell: -138.4


VASP calculation (PBE) on a relaxed PaZn2SbO8 crystal.

a b c (Å): 5.8585 5.8585 5.8585
angles (deg): 111.62 111.62 105.26
Closest atoms and distances in Å follow each position.
Positions (direct):
Pa  0.0000  0.0000  0.0000  4 O 2.10
Zn  0.7500  0.2500  0.5000  4 O 1.92
Zn  0.5000  0.5000  0.0000  4 O 1.96
Sb  0.2500  0.7500  0.5000  4 O 2.01
O  0.3565  0.0403  0.3162  1 Zn 1.92, 1 Pa 2.10
O  0.2963  0.4959  0.1996  1 Zn 1.96, 1 Sb 2.01
O  0.2963  0.0967  0.8004  1 Zn 1.96, 1 Sb 2.01
O  0.7240  0.0403  0.6838  1 Zn 1.92, 1 Pa 2.10
O  0.9033  0.7037  0.1996  1 Zn 1.96, 1 Sb 2.01
O  0.9597  0.2760  0.3162  1 Zn 1.92, 1 Pa 2.10
O  0.9597  0.6435  0.6838  1 Zn 1.92, 1 Pa 2.10
O  0.5041  0.7037  0.8004  1 Zn 1.96, 1 Sb 2.01

## Properties
Formation energy from raw total energies, eV/atom: -1.635
Space group: I-4m2
M_tot, μB per formula unit: 0.6
DOS(E_F), states/eV/cell: 9.935
Crystal system: tetragonal
Raw total energy, eV/cell: -75.5


VASP calculation (PBE) on a relaxed Pb2C3 crystal.

a b c (Å): 8.4675 7.4193 6.0413
angles (deg): 77.21 58.70 44.09
Closest atoms and distances in Å follow each position.
Positions (direct):
Pb  0.0238  0.9123  0.3159  2 C 2.40-2.41
Pb  0.7480  0.3159  0.9123  2 C 2.40-2.41
Pb  0.9341  0.5020  0.2262  2 C 2.40-2.41
Pb  0.3377  0.2262  0.5020  2 C 2.40-2.41
C  0.6917  0.9141  0.5930  1 C 1.32
C  0.8013  0.5930  0.9141  1 C 1.32
C  0.6570  0.4487  0.5583  1 C 1.32
C  0.3359  0.5583  0.4487  1 C 1.32
C  0.7352  0.7648  0.7648  2 C 1.32
C  0.4852  0.5148  0.5148  2 C 1.32

## Properties
Space group: Fdd2
M_tot, μB per formula unit: 0.0
Calculated formation energy, eV per atom: 0.983
DOS(E_F), states/eV/cell: 1.124
Crystal system: orthorhombic
Raw total energy, eV/cell: -60.3
ΔE to the lowest computed polymorph, kJ per mole of atoms: 0.0


VASP calculation (PBE) on a relaxed Sc4CrSi crystal.

a b c (Å): 5.6545 5.6545 5.6545
angles (deg): 60.00 60.00 60.00
Closest atoms and distances in Å follow each position.
Positions (direct):
Sc  0.8759  0.3747  0.3747  6 Sc 2.82-2.83
Sc  0.3747  0.3747  0.8759  6 Sc 2.82-2.83
Sc  0.3747  0.8759  0.3747  6 Sc 2.82-2.83
Sc  0.3747  0.3747  0.3747  6 Sc 2.82-2.83
Cr  0.0000  0.0000  0.0000  12 Sc 3.31, 4 Si 3.46
Si  0.7500  0.7500  0.7500  12 Sc 3.32, 4 Cr 3.46

## Properties
Formation energy from raw total energies, eV/atom: 0.531
Space group: F-43m
M_tot, μB per formula unit: 4.1
DOS(E_F), states/eV/cell: 7.268
Crystal system: cubic
Raw total energy, eV/cell: -37.2


VASP calculation (PBE) on a relaxed SmYCuAu crystal.

a b c (Å): 3.8169 4.5897 5.7636
angles (deg): 90.00 109.34 90.00
Closest atoms and distances in Å follow each position.
Positions (direct):
Sm  0.8603  0.5000  0.7207  3 Au 3.04-3.07, 4 Cu 3.06
Y  0.1397  0.0000  0.2793  3 Cu 3.04-3.07, 4 Au 3.06
Cu  0.4216  0.0000  0.8433  2 Au 2.86, 3 Y 3.04-3.07, 4 Sm 3.06
Au  0.5784  0.5000  0.1567  2 Cu 2.86, 3 Sm 3.04-3.07, 4 Y 3.06

## Properties
Space group: Amm2
M_tot, μB per formula unit: 0.0
Calculated formation energy, eV per atom: -0.537
DOS(E_F), states/eV/cell: 2.812
Crystal system: orthorhombic
Raw total energy, eV/cell: -20.7
ΔE to the lowest computed polymorph, kJ per mole of atoms: 0.0


Repeat the eighth record exactly.
VASP calculation (PBE) on a relaxed SmYCuAu crystal.

a b c (Å): 3.8169 4.5897 5.7636
angles (deg): 90.00 109.34 90.00
Closest atoms and distances in Å follow each position.
Positions (direct):
Sm  0.8603  0.5000  0.7207  3 Au 3.04-3.07, 4 Cu 3.06
Y  0.1397  0.0000  0.2793  3 Cu 3.04-3.07, 4 Au 3.06
Cu  0.4216  0.0000  0.8433  2 Au 2.86, 3 Y 3.04-3.07, 4 Sm 3.06
Au  0.5784  0.5000  0.1567  2 Cu 2.86, 3 Sm 3.04-3.07, 4 Y 3.06

## Properties
Space group: Amm2
M_tot, μB per formula unit: 0.0
Calculated formation energy, eV per atom: -0.537
DOS(E_F), states/eV/cell: 2.812
Crystal system: orthorhombic
Raw total energy, eV/cell: -20.7
ΔE to the lowest computed polymorph, kJ per mole of atoms: 0.0